# 1
Compound: Mo5Br4
Source: the Alexandria database
Functional: PBE
Structure: optimized geometry

Geometry as POSCAR:
```
Mo5Br4
1.0
-5.282 5.282 1.553
5.282 -5.282 1.553
5.282 5.282 -1.553
Mo Br
5 4
Direct
0.000 0.000 0.000
0.353 0.353 0.707
0.353 0.647 0.000
0.647 0.353 0.000
0.647 0.647 0.293
0.000 0.295 0.295
0.000 0.705 0.705
0.295 0.000 0.295
0.705 0.000 0.705
```

Calculated volume in Å³/atom: 19.3
Uncorrected formation energy in kJ/mol of formula units: 432.4
Fermi-level density of states in states/eV/atom: 1.05

***

# 2
Compound: SrAl2Ru2
Source: the Alexandria database
Functional: PBE
Structure: optimized geometry

Geometry as POSCAR:
```
SrAl2Ru2
1.0
7.633 0.000 0.000
0.000 7.633 0.000
0.000 0.000 2.981
Sr Al Ru
2 4 4
Direct
0.000 0.000 0.000
0.500 0.500 0.000
0.127 0.373 0.000
0.373 0.873 0.000
0.627 0.127 0.000
0.873 0.627 0.000
0.156 0.656 0.500
0.344 0.156 0.500
0.656 0.844 0.500
0.844 0.344 0.500
```

Energy relative to the elements in kJ/mol of atoms: -19.0
Calculated volume in Å³/atom: 17.4
Fermi-level density of states in states/eV/atom: 0.89

***

# 3
Compound: CaLa3Ru
Source: the Alexandria database
Functional: PBE
Structure: optimized geometry

Geometry as POSCAR:
```
CaLa3Ru
1.0
6.521 -7.408 0.000
6.521 7.408 0.000
-0.884 0.000 7.178
Ca La Ru
4 12 4
Direct
0.069 0.685 0.884
0.315 0.931 0.616
0.685 0.069 0.384
0.931 0.315 0.116
0.051 0.191 0.630
0.191 0.051 0.130
0.205 0.562 0.446
0.307 0.432 0.003
0.432 0.307 0.503
0.438 0.795 0.054
0.562 0.205 0.946
0.568 0.693 0.497
0.693 0.568 0.997
0.795 0.438 0.554
0.809 0.949 0.870
0.949 0.809 0.370
0.198 0.802 0.250
0.429 0.571 0.750
0.571 0.429 0.250
0.802 0.198 0.750
```

Energy relative to the elements in kJ/mol of atoms: -10.5
Calculated volume in Å³/atom: 34.7
Fermi-level density of states in states/eV/atom: 1.25

***

# 4
Compound: Ac2TeI2N
Source: the Alexandria database
Functional: PBE
Structure: optimized geometry

Geometry as POSCAR:
```
Ac2TeI2N
1.0
4.560 0.000 0.000
0.000 12.108 0.000
0.000 0.000 8.697
Ac Te I N
4 2 4 2
Direct
0.000 0.071 0.000
0.000 0.929 0.500
0.500 0.204 0.378
0.500 0.796 0.878
0.500 0.062 0.708
0.500 0.938 0.208
0.000 0.375 0.538
0.000 0.625 0.038
0.500 0.289 0.019
0.500 0.711 0.519
0.000 0.110 0.345
0.000 0.890 0.845
```

Calculated volume in Å³/atom: 40.0
Uncorrected formation energy in kJ/mol of formula units: -714.4
Fermi-level density of states in states/eV/atom: 0.21

***

# 5
Compound: Y3BI3
Source: the Alexandria database
Functional: PBE
Structure: optimized geometry

Geometry as POSCAR:
```
Y3BI3
1.0
-5.897 5.897 5.897
5.897 -5.897 5.897
5.897 5.897 -5.897
Y B I
12 4 12
Direct
0.026 0.053 0.276
0.026 0.474 0.750
0.053 0.276 0.026
0.224 0.276 0.750
0.224 0.447 0.474
0.276 0.026 0.053
0.276 0.750 0.224
0.447 0.474 0.224
0.474 0.224 0.447
0.474 0.750 0.026
0.750 0.026 0.474
0.750 0.224 0.276
0.000 0.250 0.500
0.250 0.250 0.250
0.250 0.500 0.000
0.500 0.000 0.250
0.250 0.759 0.741
0.250 0.991 0.509
0.509 0.250 0.991
0.509 0.759 0.518
0.518 0.509 0.759
0.741 0.250 0.759
0.741 0.991 0.982
0.759 0.518 0.509
0.759 0.741 0.250
0.982 0.741 0.991
0.991 0.509 0.250
0.991 0.982 0.741
```

Calculated volume in Å³/atom: 29.3
Uncorrected formation energy in kJ/mol of formula units: -659.0
Fermi-level density of states in states/eV/atom: 0.37

***

# 6
Compound: Li4TmSn5
Source: the Alexandria database
Functional: PBE
Structure: optimized geometry

Geometry as POSCAR:
```
Li4TmSn5
1.0
3.481 0.000 0.000
0.000 3.481 0.000
0.000 0.000 17.779
Li Tm Sn
4 1 5
Direct
0.000 0.000 0.096
0.000 0.000 0.285
0.000 0.000 0.715
0.000 0.000 0.904
0.000 0.000 0.500
0.500 0.500 0.000
0.500 0.500 0.191
0.500 0.500 0.381
0.500 0.500 0.619
0.500 0.500 0.809
```

Energy relative to the elements in kJ/mol of atoms: -35.0
Calculated volume in Å³/atom: 21.5
Fermi-level density of states in states/eV/atom: 0.51

***

# 7
Compound: CePr3Y6Tm2
Source: the Alexandria database
Functional: PBE
Structure: optimized geometry

Geometry as POSCAR:
```
CePr3Y6Tm2
1.0
3.116 -5.396 0.000
3.116 5.396 0.000
-2.074 0.000 11.695
Ce Pr Y Tm
1 3 6 2
Direct
0.000 0.000 0.000
0.168 0.832 0.500
0.500 0.500 0.500
0.832 0.168 0.500
0.082 0.413 0.245
0.250 0.250 0.755
0.413 0.082 0.245
0.587 0.918 0.755
0.750 0.750 0.245
0.918 0.587 0.755
0.333 0.667 0.000
0.667 0.333 0.000
```

Energy relative to the elements in kJ/mol of atoms: 3.6
Calculated volume in Å³/atom: 32.8
Fermi-level density of states in states/eV/atom: 1.60

***

# 8
Compound: Pm2ScGe3
Source: the Alexandria database
Functional: PBE
Structure: optimized geometry

Geometry as POSCAR:
```
Pm2ScGe3
1.0
-2.359 2.939 5.346
2.359 -2.939 5.346
2.359 2.939 -5.346
Pm Sc Ge
2 1 3
Direct
0.177 0.177 0.000
0.823 0.823 0.000
0.500 0.500 0.000
0.000 0.500 0.500
0.369 0.869 0.500
0.631 0.131 0.500
```

Energy relative to the elements in kJ/mol of atoms: -63.4
Calculated volume in Å³/atom: 24.7
Fermi-level density of states in states/eV/atom: 0.67

***

# 9
Compound: PmDy4Ho15
Source: the Alexandria database
Functional: PBE
Structure: optimized geometry

Geometry as POSCAR:
```
PmDy4Ho15
1.0
4.997 0.000 0.000
0.000 4.997 0.000
0.000 0.000 24.973
Pm Dy Ho
1 4 15
Direct
0.000 0.000 0.000
0.000 0.000 0.201
0.000 0.000 0.400
0.000 0.000 0.600
0.000 0.000 0.799
0.000 0.500 0.101
0.000 0.500 0.300
0.000 0.500 0.500
0.000 0.500 0.700
0.000 0.500 0.899
0.500 0.000 0.101
0.500 0.000 0.300
0.500 0.000 0.500
0.500 0.000 0.700
0.500 0.000 0.899
0.500 0.500 0.000
0.500 0.500 0.201
0.500 0.500 0.400
0.500 0.500 0.600
0.500 0.500 0.799
```

Energy relative to the elements in kJ/mol of atoms: 1.9
Calculated volume in Å³/atom: 31.2
Fermi-level density of states in states/eV/atom: 1.30

***

# 10
Compound: GePPd2
Source: the Alexandria database
Functional: PBE
Structure: optimized geometry

Geometry as POSCAR:
```
GePPd2
1.0
0.000 3.130 3.130
3.130 0.000 3.130
3.130 3.130 0.000
Ge P Pd
1 1 2
Direct
0.000 0.000 0.000
0.500 0.500 0.500
0.250 0.250 0.250
0.750 0.750 0.750
```

Energy relative to the elements in kJ/mol of atoms: -13.9
Calculated volume in Å³/atom: 15.3
Fermi-level density of states in states/eV/atom: 0.63

***

# 11
Compound: BaSc
Source: the Alexandria database
Functional: PBE
Structure: optimized geometry

Geometry as POSCAR:
```
BaSc
1.0
4.039 0.000 0.000
0.000 4.039 0.000
0.000 0.000 9.857
Ba Sc
2 2
Direct
0.250 0.250 0.177
0.750 0.750 0.823
0.250 0.250 0.571
0.750 0.750 0.429
```

Energy relative to the elements in kJ/mol of atoms: 22.8
Calculated volume in Å³/atom: 40.2
Fermi-level density of states in states/eV/atom: 1.58

***

# 12
Compound: BeTe2Pd8
Source: the Alexandria database
Functional: PBE
Structure: optimized geometry

Geometry as POSCAR:
```
BeTe2Pd8
1.0
7.055 -2.155 0.000
7.055 2.155 0.000
-2.600 0.000 5.928
Be Te Pd
1 2 8
Direct
0.000 0.000 0.000
0.330 0.330 0.331
0.670 0.670 0.669
0.085 0.085 0.416
0.161 0.161 0.946
0.312 0.312 0.732
0.475 0.475 0.179
0.525 0.525 0.821
0.688 0.688 0.268
0.839 0.839 0.054
0.915 0.915 0.584
```

Calculated volume in Å³/atom: 16.4
Uncorrected formation energy in kJ/mol of formula units: -294.1
Fermi-level density of states in states/eV/atom: 0.55

***

> Look up the calculated volume of the third one.

34.7 Å³/atom